No. 1
Computed, not measured: Li2FeNi after structural relaxation at the PBE level of DFT.

Total magnetization: 2.560 μB/f.u.
Energy of formation: 0.41 eV per formula unit

The structure in POSCAR format:
```
Li2FeNi
1.0
4.523 -1.277 0.000
4.523 1.277 0.000
-0.935 0.000 4.150
Li Fe Ni
2 1 1
Cartesian
1.973 0.000 1.012
6.139 0.000 3.138
-0.467 0.000 2.075
4.523 0.000 0.000
```

=====

No. 2
Computed, not measured: CaTaTl2Cl after structural relaxation at the PBE level of DFT.

Total magnetization: 1.698 μB/f.u.
Formation energy (no corrections): 472 meV per atom

The structure in POSCAR format:
```
CaTaTl2Cl
1.0
5.408 0.000 0.000
0.000 5.408 0.000
0.000 0.000 6.141
Ca Ta Tl Cl
1 1 2 1
Cartesian
0.000 0.000 0.000
0.000 0.000 3.071
0.000 2.704 3.071
2.704 0.000 3.071
2.704 2.704 0.000
```

=====

Q: Which value of total magnetization does entry 1 give?
A: 2.560 μB/f.u.

=====

Q: Look up the total magnetization of the first one.
A: 2.560 μB/f.u.

=====

Q: Which value of total magnetization does entry 2 give?
A: 1.698 μB/f.u.